Density functional theory data (GGA+U) for a relaxed AcUMn2O6 crystal.

abc: 6.265 6.265 4.636
angles: 90.00 90.00 90.00
Space group P4mm (No. 99)
Asymmetric unit:
Ac 0.000 0.000 0.000 (multiplicity 1)
U 0.500 0.500 0.108 (multiplicity 1)
Mn 0.000 0.500 0.325 (multiplicity 2)
O 0.000 0.000 0.520 (multiplicity 1)
O 0.266 0.266 0.179 (multiplicity 4)
O 0.500 0.500 0.653 (multiplicity 1)

Summary:
Total energy ... -8.186 eV per atom
DOS at the Fermi energy ... 4.124 states/eV/f.u.